Here is a geometry-optimized TaCu2Si structure from the Alexandria database. Energies are from PBE-GGA.

Cell: 5.146 5.146 5.146 Å, 148.79 126.49 63.26°
Positions (direct):
Si (0.516, 0.516, 0.000)
Ta (0.257, 0.757, 0.500)
Cu (0.742, 0.242, 0.500)
Cu (0.984, 0.984, 0.000)

N(E_F) = 3.053 states/eV/f.u.
Formation energy (no corrections) = 46 kJ/mol of formula units
M_tot = 0.00 μB per atom